VASP calculation (GGA-PBE) on crystalline Tb3Pd at its relaxed geometry.

Unit cell a=6.345 b=6.345 c=6.345 alpha=146.03 beta=129.99 gamma=61.84
Element x y z (fractional)
Tb: 0.000 0.000 0.000
Tb: 0.295 0.795 0.500
Tb: 0.705 0.205 0.500
Pd: 0.500 0.500 0.000

- energy of formation (eV/f.u.) = -1.6